(1)
Compound: SmHo2Se4
Source: the Alexandria database
Functional: PBE-GGA
Structure: optimized geometry

The structure in CIF format:
```
data_SmHo2Se4
_cell_length_a 3.996
_cell_length_b 13.422
_cell_length_c 13.813
_cell_angle_alpha 90.00
_cell_angle_beta 90.00
_cell_angle_gamma 90.00
_symmetry_space_group_name_H-M 'C m c m'
_symmetry_Int_Tables_number 63
_symmetry_space_group_name_Hall '-C 2c 2'
loop_
_atom_site_label
_atom_site_fract_x
_atom_site_fract_y
_atom_site_fract_z
_atom_site_occupancy
Sm1 0.000 0.126 0.250 1
Ho1 0.000 0.370 0.069 1
Se1 0.000 0.000 0.000 1
Se2 0.000 0.275 0.620 1
Se3 0.000 0.464 0.250 1
```

Output
Total magnetization   0.000 μB per atom
Relative energy among the computed polymorphs   0.000 eV/atom
E_form (uncorrected)   -12.9 eV/f.u.

(2)
Compound: SmHo3Se6
Source: the Alexandria database
Functional: PBE-GGA
Structure: optimized geometry

The structure in CIF format:
```
data_SmHo3Se6
_cell_length_a 11.570
_cell_length_b 4.112
_cell_length_c 11.857
_cell_angle_alpha 90.00
_cell_angle_beta 109.13
_cell_angle_gamma 90.00
_symmetry_space_group_name_H-M 'P 1 21/m 1'
_symmetry_Int_Tables_number 11
loop_
_symmetry_equiv_pos_as_xyz
'x,y,z'
'-x,-y,-z'
'-x,y+1/2,-z'
'x,-y+1/2,z'
loop_
_atom_site_label
_atom_site_fract_x
_atom_site_fract_y
_atom_site_fract_z
_atom_site_occupancy
Sm1 0.046 0.250 0.194 1
Ho1 0.159 0.250 0.585 1
Ho2 0.318 0.750 0.999 1
Ho3 0.436 0.250 0.333 1
Se1 0.083 0.750 0.404 1
Se2 0.115 0.250 0.965 1
Se3 0.195 0.750 0.750 1
Se4 0.258 0.750 0.225 1
Se5 0.395 0.250 0.561 1
Se6 0.480 0.250 0.114 1
```

Output
Total magnetization   0.000 μB per atom
E_form (uncorrected)   -18.8 eV/f.u.

(3)
Compound: Sm2HoSe3
Source: the Alexandria database
Functional: PBE-GGA
Structure: optimized geometry

The structure in CIF format:
```
data_Sm2HoSe3
_cell_length_a 4.145
_cell_length_b 5.834
_cell_length_c 12.402
_cell_angle_alpha 90.00
_cell_angle_beta 90.00
_cell_angle_gamma 90.00
_symmetry_space_group_name_H-M 'I m m m'
_symmetry_Int_Tables_number 71
_symmetry_space_group_name_Hall '-I 2 2'
loop_
_atom_site_label
_atom_site_fract_x
_atom_site_fract_y
_atom_site_fract_z
_atom_site_occupancy
Sm1 0.000 0.000 0.172 1
Ho1 0.000 0.000 0.500 1
Se1 0.000 0.500 0.159 1
Se2 0.000 0.500 0.500 1
```

Output
Total magnetization   0.000 μB per atom
Relative energy among the computed polymorphs   0.000 eV/atom
E_form (uncorrected)   -10.7 eV/f.u.

(4)
Compound: Sm3Ho4Se8
Source: the Alexandria database
Functional: PBE-GGA
Structure: optimized geometry

The structure in CIF format:
```
data_Sm3Ho4Se8
_cell_length_a 11.589
_cell_length_b 11.596
_cell_length_c 8.184
_cell_angle_alpha 90.00
_cell_angle_beta 134.87
_cell_angle_gamma 90.00
_symmetry_space_group_name_H-M 'C 1 2/m 1'
_symmetry_Int_Tables_number 12
loop_
_symmetry_equiv_pos_as_xyz
'x,y,z'
'-x,-y,-z'
'-x,y,-z'
'x,-y,z'
'x+1/2,y+1/2,z'
'-x+1/2,-y+1/2,-z'
'-x+1/2,y+1/2,-z'
'x+1/2,-y+1/2,z'
loop_
_atom_site_label
_atom_site_fract_x
_atom_site_fract_y
_atom_site_fract_z
_atom_site_occupancy
Sm1 0.000 0.000 0.000 1
Sm2 0.250 0.250 0.000 1
Ho1 0.000 0.500 0.000 1
Ho2 0.000 0.500 0.500 1
Ho3 0.250 0.250 0.500 1
Se1 0.000 0.249 0.500 1
Se2 0.000 0.253 0.000 1
Se3 0.247 0.500 0.001 1
Se4 0.248 0.500 0.493 1
```

Output
Total magnetization   0.000 μB per atom
E_form (uncorrected)   -27.5 eV/f.u.

(5)
Compound: SmHoSe3
Source: the Alexandria database
Functional: PBE-GGA
Structure: optimized geometry

The structure in CIF format:
```
data_SmHoSe3
_cell_length_a 7.703
_cell_length_b 4.103
_cell_length_c 16.041
_cell_angle_alpha 90.00
_cell_angle_beta 90.00
_cell_angle_gamma 90.00
_symmetry_space_group_name_H-M 'P n m a'
_symmetry_Int_Tables_number 62
loop_
_symmetry_equiv_pos_as_xyz
'x,y,z'
'-x,-y,-z'
'-x+1/2,-y,z+1/2'
'x+1/2,y,-z+1/2'
'x+1/2,-y+1/2,-z+1/2'
'-x+1/2,y+1/2,z+1/2'
'-x,y+1/2,-z'
'x,-y+1/2,z'
loop_
_atom_site_label
_atom_site_fract_x
_atom_site_fract_y
_atom_site_fract_z
_atom_site_occupancy
Sm1 0.140 0.250 0.202 1
Ho1 0.230 0.750 0.458 1
Se1 0.008 0.250 0.394 1
Se2 0.121 0.750 0.064 1
Se3 0.152 0.250 0.784 1
```

Output
Total magnetization   0.000 μB per atom
Relative energy among the computed polymorphs   0.000 eV/atom
E_form (uncorrected)   -9.4 eV/f.u.

(6)
Compound: Sm4HoSe6
Source: the Alexandria database
Functional: PBE-GGA
Structure: optimized geometry

The structure in CIF format:
```
data_Sm4HoSe6
_cell_length_a 4.038
_cell_length_b 13.702
_cell_length_c 21.107
_cell_angle_alpha 90.00
_cell_angle_beta 90.00
_cell_angle_gamma 90.00
_symmetry_space_group_name_H-M 'C m c m'
_symmetry_Int_Tables_number 63
_symmetry_space_group_name_Hall '-C 2c 2'
loop_
_atom_site_label
_atom_site_fract_x
_atom_site_fract_y
_atom_site_fract_z
_atom_site_occupancy
Sm1 0.000 0.088 0.128 1
Sm2 0.000 0.359 0.039 1
Ho1 0.000 0.153 0.750 1
Se1 0.000 0.000 0.000 1
Se2 0.000 0.196 0.250 1
Se3 0.000 0.270 0.592 1
Se4 0.000 0.444 0.169 1
```

Output
Total magnetization   0.000 μB per atom
E_form (uncorrected)   -20.1 eV/f.u.

(7)
Compound: Sm2Ho2Se5
Source: the Alexandria database
Functional: PBE-GGA
Structure: optimized geometry

The structure in CIF format:
```
data_Sm2Ho2Se5
_cell_length_a 14.755
_cell_length_b 7.728
_cell_length_c 7.697
_cell_angle_alpha 90.00
_cell_angle_beta 90.00
_cell_angle_gamma 90.00
_symmetry_space_group_name_H-M 'C m c e'
_symmetry_Int_Tables_number 64
_symmetry_space_group_name_Hall '-C 2ac 2'
loop_
_atom_site_label
_atom_site_fract_x
_atom_site_fract_y
_atom_site_fract_z
_atom_site_occupancy
Sm1 0.198 0.000 0.000 1
Ho1 0.000 0.151 0.344 1
Se1 0.000 0.000 0.000 1
Se2 0.136 0.159 0.655 1
```

Output
Total magnetization   0.000 μB per atom
Relative energy among the computed polymorphs   0.000 eV/atom
E_form (uncorrected)   -15.7 eV/f.u.

(8)
Compound: SmHo2Se
Source: the Alexandria database
Functional: PBE-GGA
Structure: optimized geometry

The structure in CIF format:
```
data_SmHo2Se
_cell_length_a 3.7474
_cell_length_b 3.7474
_cell_length_c 28.7715
_cell_angle_alpha 90.00
_cell_angle_beta 90.00
_cell_angle_gamma 120.00
_symmetry_space_group_name_H-M 'R -3 m'
_symmetry_Int_Tables_number 166
_symmetry_space_group_name_Hall '-R 3 2"'
loop_
_atom_site_label
_atom_site_fract_x
_atom_site_fract_y
_atom_site_fract_z
_atom_site_occupancy
Sm1 0.0000 0.0000 0.0000 1
Ho1 0.0000 0.0000 0.2323 1
Se1 0.0000 0.0000 0.5000 1
```

Output
Total magnetization   0.000 μB per atom
Relative energy among the computed polymorphs   0.000 eV/atom
E_form (uncorrected)   -3.2 eV/f.u.